The following is a DFT calculation (PBE) of a relaxed structure of AsOs2Se.

Properties
ΔE to the lowest computed polymorph = 7.391 kcal/mol of atoms
volume = 332.6 Å³ per cell
spin magnetization = 0.0 μB per formula unit
theoretical density = 10.7 g/cm3

a b c (Å): 5.504 5.504 10.980
angles (deg): 90.00 90.00 90.00
Space group I-42d (No. 122)
Inequivalent atoms, fractional coordinates:
As (0.000, 0.000, 0.000) [4 per cell]
Os (0.249, 0.250, 0.625) [8 per cell]
Se (0.000, 0.000, 0.500) [4 per cell]